1.
Entry from Alexandria via LeMat-Bulk: an optimized crystal structure of Ga2PIr2 (PBE).

a = 7.259 Å, b = 7.259 Å, c = 2.894 Å
α = 90.00°, β = 90.00°, γ = 90.00°
Space group P4/mbm (No. 127)
Symmetry-distinct sites (fractional):
Ga (0.134, 0.366, 0.000) x4
P (0.000, 0.000, 0.500) x2
Ir (0.166, 0.666, 0.500) x4

Formation energy from the elements   -145 meV/atom



2.
Entry from Alexandria via LeMat-Bulk: an optimized crystal structure of PrNd4Sm (PBE).

a = 9.533 Å, b = 9.533 Å, c = 9.533 Å
α = 90.00°, β = 90.00°, γ = 90.00°
Space group F-43m (No. 216)
Symmetry-distinct sites (fractional):
Pr (0.000, 0.000, 0.000) x4
Nd (0.125, 0.125, 0.375) x16
Sm (0.250, 0.250, 0.750) x4

Energy above the most stable polymorph in this dataset   1.41 eV/f.u.
Formation energy from the elements   250 meV/atom



3.
Entry from Alexandria via LeMat-Bulk: an optimized crystal structure of InAg2P (PBE).

a = 4.237 Å, b = 4.237 Å, c = 8.466 Å
α = 90.00°, β = 90.00°, γ = 90.00°
Space group I-4m2 (No. 119)
Symmetry-distinct sites (fractional):
In (0.000, 0.000, 0.000) x2
Ag (0.000, 0.000, 0.500) x2
Ag (0.000, 0.500, 0.250) x2
P (0.000, 0.500, 0.750) x2

Energy above the most stable polymorph in this dataset   0.22 eV/f.u.
Formation energy from the elements   213 meV/atom



4.
Entry from Alexandria via LeMat-Bulk: an optimized crystal structure of CrIn2Ge (PBE).

a = 10.197 Å, b = 10.197 Å, c = 4.688 Å
α = 90.00°, β = 90.00°, γ = 90.00°
Space group I-42d (No. 122)
Symmetry-distinct sites (fractional):
Cr (0.000, 0.000, 0.000) x4
In (0.001, 0.250, 0.125) x8
Ge (0.000, 0.000, 0.500) x4

Formation energy from the elements   417 meV/atom



5.
Entry from Alexandria via LeMat-Bulk: an optimized crystal structure of La2Tb6ErTm3 (PBE).

a = 6.186 Å, b = 10.715 Å, c = 11.833 Å
α = 90.00°, β = 100.03°, γ = 90.00°
Space group C2/m (No. 12)
Symmetry-distinct sites (fractional):
La (0.000, 0.166, 0.000) x4
Tb (0.246, 0.500, 0.744) x4
Tb (0.248, 0.166, 0.744) x8
Er (0.000, 0.500, 0.000) x2
Tm (0.000, 0.000, 0.500) x2
Tm (0.000, 0.334, 0.500) x4

Formation energy from the elements   25 meV/atom



6.
Entry from Alexandria via LeMat-Bulk: an optimized crystal structure of K2RbMgSb (PBE).

a = 6.951 Å, b = 6.951 Å, c = 5.618 Å
α = 90.00°, β = 90.00°, γ = 90.00°
Space group P4/mmm (No. 123)
Symmetry-distinct sites (fractional):
K (0.000, 0.500, 0.000) x2
Rb (0.000, 0.000, 0.500) x1
Mg (0.500, 0.500, 0.500) x1
Sb (0.500, 0.500, 0.000) x1

Formation energy from raw total energies   -51 kJ/mol of formula units



7.
Entry from Alexandria via LeMat-Bulk: an optimized crystal structure of Re2AgN (PBE).

a = 4.916 Å, b = 4.916 Å, c = 11.440 Å
α = 90.00°, β = 90.00°, γ = 90.00°
Space group I-42d (No. 122)
Symmetry-distinct sites (fractional):
Re (0.104, 0.250, 0.125) x8
Ag (0.000, 0.000, 0.500) x4
N (0.000, 0.000, 0.000) x4

Formation energy from raw total energies   437 kJ/mol of formula units



8.
Entry from Alexandria via LeMat-Bulk: an optimized crystal structure of NdHoBr6 (PBE).

a = 7.079 Å, b = 13.351 Å, c = 7.070 Å
α = 90.00°, β = 106.88°, γ = 90.00°
Space group C2/m (No. 12)
Symmetry-distinct sites (fractional):
Nd (0.000, 0.000, 0.000) x2
Ho (0.000, 0.500, 0.500) x2
Br (0.240, 0.355, 0.741) x8
Br (0.246, 0.500, 0.255) x4

Formation energy from raw total energies   -1419 kJ/mol of formula units
Energy above the most stable polymorph in this dataset   0.00 eV/f.u.



| no. | V (Å³ per cell) | magnetic moment (Bohr magnetons per cell) |
| --- | --- | --- |
| 1 | 152.5 | 0.00 |
| 2 | 866.3 | 0.00 |
| 3 | 152.0 | 0.00 |
| 4 | 487.5 | 8.00 |
| 5 | 772.3 | 0.00 |
| 6 | 271.4 | 0.21 |
| 7 | 276.4 | 0.02 |
| 8 | 639.4 | 0.00 |